--- a ---
VASP calculation (PBE-GGA) on an optimized crystal structure of ErAlTl.

Results
density of states at the Fermi level = 0.68 states/eV/f.u.
M_tot = 0.000 μB per formula unit
symmetry = No. 156

Cell lengths 3.502, 4.782, 4.782 Å; angles 120.00, 90.00, 90.00 degrees
Positions (direct):
Tl (0.168, 0.333, 0.667)
Al (0.165, 0.000, 0.000)
Er (0.667, 0.667, 0.333)

=====

--- b ---
VASP calculation (PBE-GGA) on an optimized crystal structure of ErAlTl.

Results
density of states at the Fermi level = 1.94 states/eV/f.u.
M_tot = 0.000 μB per formula unit
symmetry = No. 166

Cell lengths 4.257, 4.257, 10.440 Å; angles 78.24, 78.24, 60.00 degrees
Positions (direct):
Al (0.163, 0.163, 0.512)
Al (0.837, 0.837, 0.488)
Tl (0.698, 0.698, 0.905)
Tl (0.302, 0.302, 0.095)
Er (0.435, 0.435, 0.696)
Er (0.565, 0.565, 0.304)

=====

--- c ---
VASP calculation (PBE-GGA) on an optimized crystal structure of ErAlTl.

Results
density of states at the Fermi level = 2.91 states/eV/f.u.
M_tot = 0.002 μB per formula unit
symmetry = No. 107

Cell lengths 3.445, 3.445, 6.558 Å; angles 105.23, 105.23, 90.00 degrees
Positions (direct):
Al (0.284, 0.284, 0.567)
Er (0.629, 0.629, 0.257)
Tl (0.938, 0.938, 0.875)

=====

Which of them is least stable? Easy: c.

=====

--- a ---
VASP calculation (PBE-GGA) on an optimized crystal structure of Er4Al3Tl.

Results
density of states at the Fermi level = 2.88 states/eV/f.u.
M_tot = 0.000 μB per formula unit
symmetry = No. 123

Cell lengths 3.589, 3.589, 14.761 Å; angles 90.00, 90.00, 90.00 degrees
Positions (direct):
Al (0.500, 0.500, 0.500)
Al (0.500, 0.500, 0.261)
Al (0.500, 0.500, 0.739)
Er (0.000, 0.000, 0.381)
Er (0.000, 0.000, 0.861)
Er (0.000, 0.000, 0.619)
Er (0.000, 0.000, 0.139)
Tl (0.500, 0.500, 0.000)

=====

--- b ---
VASP calculation (PBE-GGA) on an optimized crystal structure of Er4Al3Tl.

Results
density of states at the Fermi level = 7.82 states/eV/f.u.
M_tot = 0.036 μB per formula unit
symmetry = No. 25

Cell lengths 3.934, 4.422, 11.483 Å; angles 90.00, 90.00, 90.00 degrees
Each line ends with the local moment (μB).
Positions (direct):
Al (0.500, 0.000, 0.921)  0.00
Al (0.000, 0.000, 0.430)  0.00
Al (0.000, 0.500, 0.569)  0.00
Er (0.500, 0.000, 0.649)  -0.05
Er (0.000, 0.500, 0.843)  -0.05
Er (0.000, 0.000, 0.155)  0.06
Er (0.500, 0.500, 0.357)  0.06
Tl (0.500, 0.500, 0.076)  0.00

=====

Which of them is least stable? Easy: b.

=====

--- a ---
VASP calculation (PBE-GGA) on an optimized crystal structure of Er3AlTl2.

Results
density of states at the Fermi level = 3.45 states/eV/f.u.
M_tot = 0.000 μB per formula unit
symmetry = No. 65

Cell lengths 3.645, 5.297, 8.358 Å; angles 108.47, 90.00, 90.00 degrees
Positions (direct):
Tl (0.000, 0.670, 0.340)
Tl (0.000, 0.330, 0.660)
Al (0.000, 0.000, 0.000)
Er (0.500, 0.500, 0.000)
Er (0.500, 0.158, 0.317)
Er (0.500, 0.842, 0.683)

=====

--- b ---
VASP calculation (PBE-GGA) on an optimized crystal structure of Er3AlTl2.

Results
density of states at the Fermi level = 2.81 states/eV/f.u.
M_tot = 0.021 μB per formula unit
symmetry = No. 123

Cell lengths 3.592, 3.592, 11.855 Å; angles 90.00, 90.00, 90.00 degrees
Positions (direct):
Er (0.000, 0.000, 0.653)
Er (0.000, 0.000, 0.347)
Er (0.000, 0.000, 0.000)
Tl (0.500, 0.500, 0.829)
Tl (0.500, 0.500, 0.171)
Al (0.500, 0.500, 0.500)

=====

Which of them is least stable? Easy: a.

=====

--- a ---
VASP calculation (PBE-GGA) on an optimized crystal structure of Er4TmAl2.

Results
density of states at the Fermi level = 7.46 states/eV/f.u.
M_tot = 0.000 μB per formula unit
symmetry = No. 14

Cell lengths 10.249, 6.713, 5.985 Å; angles 111.62, 90.00, 90.00 degrees
Positions (direct):
Er (0.161, 0.500, 0.001)
Er (0.790, 0.000, 0.499)
Er (0.210, 0.000, 0.501)
Er (0.661, 0.000, 0.999)
Er (0.339, 0.000, 0.001)
Er (0.839, 0.500, 0.999)
Er (0.710, 0.500, 0.499)
Er (0.290, 0.500, 0.501)
Al (0.500, 0.184, 0.480)
Al (0.000, 0.316, 0.520)
Al (0.500, 0.816, 0.520)
Al (0.000, 0.684, 0.480)
Tm (0.500, 0.500, 0.000)
Tm (0.000, 0.000, 0.000)

=====

--- b ---
VASP calculation (PBE-GGA) on an optimized crystal structure of Er4TmAl2.

Results
density of states at the Fermi level = 8.86 states/eV/f.u.
M_tot = 0.000 μB per formula unit
symmetry = No. 166

Cell lengths 4.975, 4.975, 10.367 Å; angles 76.12, 76.12, 60.00 degrees
Positions (direct):
Al (0.599, 0.599, 0.202)
Al (0.401, 0.401, 0.798)
Er (0.298, 0.298, 0.106)
Er (0.702, 0.702, 0.894)
Er (0.897, 0.897, 0.308)
Er (0.103, 0.103, 0.692)
Tm (0.500, 0.500, 0.500)

=====

Which of them is least stable? Easy: b.

=====

--- a ---
VASP calculation (PBE-GGA) on an optimized crystal structure of ErTmAl.

Results
density of states at the Fermi level = 3.43 states/eV/f.u.
M_tot = 0.000 μB per formula unit
symmetry = No. 129

Cell lengths 4.686, 4.686, 7.382 Å; angles 90.00, 90.00, 90.00 degrees
Positions (direct):
Al (0.000, 0.000, 0.000)
Al (0.500, 0.500, 0.000)
Tm (0.500, 0.000, 0.739)
Tm (0.000, 0.500, 0.261)
Er (0.000, 0.500, 0.731)
Er (0.500, 0.000, 0.269)

=====

--- b ---
VASP calculation (PBE-GGA) on an optimized crystal structure of ErTmAl.

Results
density of states at the Fermi level = 2.20 states/eV/f.u.
M_tot = 0.000 μB per formula unit
symmetry = No. 107

Cell lengths 3.404, 3.404, 7.044 Å; angles 103.98, 103.98, 90.00 degrees
Positions (direct):
Al (0.616, 0.616, 0.232)
Tm (0.967, 0.967, 0.934)
Er (0.267, 0.267, 0.533)

=====

Which of them is least stable? Easy: a.

=====

--- a ---
VASP calculation (PBE-GGA) on an optimized crystal structure of ErTm3Al8.

Results
density of states at the Fermi level = 6.03 states/eV/f.u.
M_tot = 0.000 μB per formula unit
symmetry = No. 156

Cell lengths 5.511, 5.511, 9.021 Å; angles 90.00, 90.00, 120.00 degrees
Positions (direct):
Al (0.162, 0.324, 0.250)
Al (0.505, 0.009, 0.750)
Al (0.505, 0.495, 0.750)
Al (0.991, 0.495, 0.750)
Al (0.162, 0.838, 0.250)
Al (0.676, 0.838, 0.250)
Al (0.333, 0.667, 0.500)
Al (0.333, 0.667, 0.000)
Tm (0.667, 0.333, 0.432)
Tm (0.667, 0.333, 0.067)
Tm (0.000, 0.000, 0.933)
Er (0.000, 0.000, 0.567)

=====

--- b ---
VASP calculation (PBE-GGA) on an optimized crystal structure of ErTm3Al8.

Results
density of states at the Fermi level = 9.74 states/eV/f.u.
M_tot = 0.000 μB per formula unit
symmetry = No. 160

Cell lengths 5.509, 5.509, 9.582 Å; angles 73.29, 73.29, 60.00 degrees
Positions (direct):
Er (0.875, 0.875, 0.374)
Tm (0.000, 0.000, 0.000)
Tm (0.500, 0.500, 0.501)
Tm (0.375, 0.375, 0.874)
Al (0.938, 0.438, 0.187)
Al (0.438, 0.438, 0.187)
Al (0.438, 0.938, 0.187)
Al (0.437, 0.937, 0.688)
Al (0.688, 0.688, 0.937)
Al (0.187, 0.187, 0.438)
Al (0.937, 0.937, 0.688)
Al (0.937, 0.437, 0.688)

=====

Which of them is least stable? Easy: a.